## DyTlBi2 (PBE-GGA)

Data for a relaxed structure of DyTlBi2.

a = 4.2166 Å, b = 4.2166 Å, c = 6.8465 Å
α = 90.00°, β = 90.00°, γ = 90.00°
Space group P4/mmm (No. 123)
One atom of each set of equivalent atoms:
Dy1 0.0000 0.0000 0.0000 (multiplicity 1)
Tl1 0.0000 0.0000 0.5000 (multiplicity 1)
Bi1 0.5000 0.5000 0.2312 (multiplicity 2)

## Properties
For the formation energy, the calculation gives -0.381 eV/atom.

## LaPr4Y (PBE-GGA)

Data for a relaxed structure of LaPr4Y.

a = 16.0141 Å, b = 6.9745 Å, c = 8.9512 Å
α = 90.00°, β = 115.61°, γ = 90.00°
Space group C2/m (No. 12)
One atom of each set of equivalent atoms:
La1 0.2282 0.0000 0.3036 (multiplicity 4)
Pr1 0.0000 0.2602 0.5000 (multiplicity 4)
Pr2 0.1151 0.2570 0.9359 (multiplicity 8)
Pr3 0.2013 0.0000 0.6882 (multiplicity 4)
Y1 0.0957 0.5000 0.2755 (multiplicity 4)

## Properties
For the formation energy, the calculation gives 0.259 eV/atom.

## Cr2InCu (PBE-GGA)

Data for a relaxed structure of Cr2InCu.

a = 3.0360 Å, b = 4.6028 Å, c = 8.4145 Å
α = 90.00°, β = 90.00°, γ = 90.00°
Space group Cmm2 (No. 35)
One atom of each set of equivalent atoms:
Cr1 0.0000 0.0000 0.0000 (multiplicity 2)
Cr2 0.0000 0.5000 0.1966 (multiplicity 2)
In1 0.0000 0.5000 0.7158 (multiplicity 2)
Cu1 0.0000 0.0000 0.4388 (multiplicity 2)

## Properties
For the formation energy, the calculation gives 0.420 eV/atom.

## BaCd10Ag2 (PBE-GGA)

Data for a relaxed structure of BaCd10Ag2.

a = 5.7169 Å, b = 14.6177 Å, c = 14.6434 Å
α = 90.00°, β = 90.00°, γ = 90.00°
Space group Fmmm (No. 69)
One atom of each set of equivalent atoms:
Ba1 0.0000 0.0000 0.0000 (multiplicity 4)
Cd1 0.0000 0.1070 0.3873 (multiplicity 16)
Cd2 0.0000 0.1720 0.1809 (multiplicity 16)
Cd3 0.2500 0.2500 0.0000 (multiplicity 8)
Ag1 0.2500 0.0000 0.2500 (multiplicity 8)

## Properties
For the formation energy, the calculation gives -0.138 eV/atom.

## CsCd2PdF8 (PBE-GGA)

Data for a relaxed structure of CsCd2PdF8.

a = 5.2523 Å, b = 5.3674 Å, c = 7.4019 Å
α = 89.14°, β = 89.39°, γ = 88.63°
Space group P-1 (No. 2)
One atom of each set of equivalent atoms:
Cs1 0.0000 0.0000 0.0000 (multiplicity 1)
Cd1 0.5001 0.4990 0.2578 (multiplicity 2)
Pd1 0.0000 0.0000 0.5000 (multiplicity 1)
F1 0.1533 0.7647 0.6824 (multiplicity 2)
F2 0.1655 0.7749 0.3197 (multiplicity 2)
F3 0.3293 0.2802 0.5025 (multiplicity 2)
F4 0.4506 0.2732 0.0029 (multiplicity 2)

## Properties
As for the formation energy (no corrections): -1.9127 eV per atom.

## TbPu2O7 (PBE-GGA)

Data for a relaxed structure of TbPu2O7.

a = 3.8175 Å, b = 3.8175 Å, c = 30.5846 Å
α = 90.00°, β = 90.00°, γ = 120.00°
Space group R-3m (No. 166, hexagonal axes)
One atom of each set of equivalent atoms:
Tb1 0.0000 0.0000 0.0000 (multiplicity 3)
Pu1 0.0000 0.0000 0.4327 (multiplicity 6)
O1 0.0000 0.0000 0.0778 (multiplicity 6)
O2 0.0000 0.0000 0.2198 (multiplicity 6)
O3 0.0000 0.0000 0.3623 (multiplicity 6)
O4 0.0000 0.0000 0.5000 (multiplicity 3)

## Properties
As for the formation energy (no corrections): -2.8311 eV per atom.

Number 1: M_tot 0.0 μB per formula unit. Number 2: M_tot 0.0 μB per formula unit. Number 3: M_tot 0.0 μB per formula unit. Number 4: M_tot 0.0 μB per formula unit. Number 5: M_tot 1.0 μB per formula unit. Number 6: M_tot 5.0 μB per formula unit.